# SrCaZn2F8

A geometry-optimized SrCaZn2F8 structure (PBE, the Alexandria database). Values from VASP.

Results
Crystal system = tetragonal
Mass density = 3.99 Mg/m³
Electronic total energy = -58.7 eV for the cell shown
Raw formation energy = -3.1251 eV/atom

Structure (Quantum ESPRESSO input):
```
&SYSTEM
  ibrav = 0, nat = 12, ntyp = 4
/
ATOMIC_SPECIES
Sr 87.62 Sr.upf
Ca 40.08 Ca.upf
Zn 65.41 Zn.upf
F 19.00 F.upf
CELL_PARAMETERS angstrom
-0.681 5.377 0.522
-5.295 -0.560 -1.138
1.857 -3.096 5.910
ATOMIC_POSITIONS crystal
Sr 0.750 0.250 0.500
Ca 0.000 0.000 0.000
Zn 0.500 0.500 0.000
Zn 0.250 0.750 0.500
F 0.758 0.841 0.162
F 0.404 0.321 0.162
F 0.601 0.679 0.677
F 0.076 0.998 0.677
F 0.002 0.399 0.323
F 0.321 0.924 0.323
F 0.159 0.596 0.838
F 0.679 0.242 0.838
```

---

# SrCa2ZnF8

A geometry-optimized SrCa2ZnF8 structure (PBE, the Alexandria database). Values from VASP.

Results
Crystal system = triclinic
Mass density = 3.81 Mg/m³
Electronic total energy = -63.6 eV for the cell shown
Raw formation energy = -3.4755 eV/atom

Structure (Quantum ESPRESSO input):
```
&SYSTEM
  ibrav = 0, nat = 12, ntyp = 4
/
ATOMIC_SPECIES
Sr 87.62 Sr.upf
Ca 40.08 Ca.upf
Zn 65.41 Zn.upf
F 19.00 F.upf
CELL_PARAMETERS angstrom
-2.142 -2.516 2.287
-2.780 -1.124 -4.580
4.926 -5.641 -1.588
ATOMIC_POSITIONS crystal
Sr 0.000 0.000 0.500
Ca 0.500 0.500 0.763
Ca 0.500 0.500 0.237
Zn 0.000 0.000 0.000
F 0.036 0.751 0.227
F 0.566 0.766 0.000
F 0.963 0.246 0.226
F 0.964 0.249 0.773
F 0.434 0.234 0.000
F 0.037 0.754 0.774
F 0.492 0.735 0.500
F 0.508 0.265 0.500
```

---

# Ca3TaF

A geometry-optimized Ca3TaF structure (PBE, the Alexandria database). Values from VASP.

Results
Offset from the most stable computed form = 1.144 eV/atom
Crystal system = cubic
Mass density = 2.73 Mg/m³
Electronic total energy = -16.5 eV for the cell shown
Raw formation energy = 0.6480 eV/atom

Structure (Quantum ESPRESSO input):
```
&SYSTEM
  ibrav = 0, nat = 5, ntyp = 3
/
ATOMIC_SPECIES
Ca 40.08 Ca.upf
F 19.00 F.upf
Ta 180.95 Ta.upf
CELL_PARAMETERS angstrom
5.796 0.000 0.000
0.000 5.796 0.000
0.000 0.000 5.796
ATOMIC_POSITIONS crystal
Ca 0.000 0.500 0.000
Ca 0.000 0.000 0.500
Ca 0.500 0.000 0.000
F 0.500 0.500 0.500
Ta 0.000 0.000 0.000
```

---

# Ca3TaF

A geometry-optimized Ca3TaF structure (PBE, the Alexandria database). Values from VASP.

Results
Offset from the most stable computed form = 0.000 eV/atom
Crystal system = cubic
Mass density = 4.29 Mg/m³
Electronic total energy = -22.2 eV for the cell shown
Raw formation energy = -0.4956 eV/atom

Structure (Quantum ESPRESSO input):
```
&SYSTEM
  ibrav = 0, nat = 5, ntyp = 3
/
ATOMIC_SPECIES
Ca 40.08 Ca.upf
F 19.00 F.upf
Ta 180.95 Ta.upf
CELL_PARAMETERS angstrom
4.985 0.000 0.000
0.000 4.985 0.000
0.000 0.000 4.985
ATOMIC_POSITIONS crystal
Ca 0.000 0.500 0.000
Ca 0.000 0.000 0.500
Ca 0.500 0.000 0.000
F 0.000 0.000 0.000
Ta 0.500 0.500 0.500
```

---

# CaTa2F

A geometry-optimized CaTa2F structure (PBE, the Alexandria database). Values from VASP.

Results
Offset from the most stable computed form = 0.733 eV/atom
Crystal system = cubic
Mass density = 9.00 Mg/m³
Electronic total energy = -22.7 eV for the cell shown
Raw formation energy = 1.2211 eV/atom

Structure (Quantum ESPRESSO input):
```
&SYSTEM
  ibrav = 0, nat = 4, ntyp = 3
/
ATOMIC_SPECIES
Ca 40.08 Ca.upf
F 19.00 F.upf
Ta 180.95 Ta.upf
CELL_PARAMETERS angstrom
0.000 3.386 3.386
3.386 0.000 3.386
3.386 3.386 0.000
ATOMIC_POSITIONS crystal
Ca 0.500 0.500 0.500
F 0.000 0.000 0.000
Ta 0.250 0.250 0.250
Ta 0.750 0.750 0.750
```

---

# CaTa2F

A geometry-optimized CaTa2F structure (PBE, the Alexandria database). Values from VASP.

Results
Offset from the most stable computed form = 0.000 eV/atom
Crystal system = tetragonal
Mass density = 7.30 Mg/m³
Electronic total energy = -51.3 eV for the cell shown
Raw formation energy = 0.4877 eV/atom

Structure (Quantum ESPRESSO input):
```
&SYSTEM
  ibrav = 0, nat = 8, ntyp = 3
/
ATOMIC_SPECIES
Ca 40.08 Ca.upf
F 19.00 F.upf
Ta 180.95 Ta.upf
CELL_PARAMETERS angstrom
5.789 0.000 0.000
0.000 5.789 0.000
2.895 2.895 5.712
ATOMIC_POSITIONS crystal
Ca 0.000 0.000 0.000
Ca 0.750 0.250 0.500
F 0.500 0.500 0.000
F 0.250 0.750 0.500
Ta 0.375 0.125 0.250
Ta 0.375 0.625 0.250
Ta 0.375 0.625 0.750
Ta 0.875 0.625 0.750
```

---

# CaTaF6

A geometry-optimized CaTaF6 structure (PBE, the Alexandria database). Values from VASP.

Results
Crystal system = monoclinic
Mass density = 4.39 Mg/m³
Electronic total energy = -51.6 eV for the cell shown
Raw formation energy = -3.3137 eV/atom

Structure (Quantum ESPRESSO input):
```
&SYSTEM
  ibrav = 0, nat = 8, ntyp = 3
/
ATOMIC_SPECIES
Ca 40.08 Ca.upf
Ta 180.95 Ta.upf
F 19.00 F.upf
CELL_PARAMETERS angstrom
5.401 0.475 -0.780
-1.175 4.596 -1.781
0.234 -0.206 5.057
ATOMIC_POSITIONS crystal
Ca 0.000 0.000 0.000
Ta 0.500 0.500 0.500
F 0.743 0.563 0.859
F 0.743 0.859 0.563
F 0.257 0.141 0.437
F 0.257 0.437 0.141
F 0.709 0.252 0.252
F 0.291 0.748 0.748
```

---

# CaTaF7

A geometry-optimized CaTaF7 structure (PBE, the Alexandria database). Values from VASP.

Results
Crystal system = monoclinic
Mass density = 4.36 Mg/m³
Electronic total energy = -703.3 eV for the cell shown
Raw formation energy = -3.5171 eV/atom

Structure (Quantum ESPRESSO input):
```
&SYSTEM
  ibrav = 0, nat = 108, ntyp = 3
/
ATOMIC_SPECIES
Ca 40.08 Ca.upf
Ta 180.95 Ta.upf
F 19.00 F.upf
CELL_PARAMETERS angstrom
11.807 0.000 0.000
0.000 10.012 -0.012
0.000 0.164 13.694
ATOMIC_POSITIONS crystal
Ca 0.605 0.736 0.036
Ca 0.400 0.577 0.334
Ca 0.395 0.264 0.964
Ca 0.086 0.454 0.678
Ca 0.600 0.423 0.666
Ca 0.914 0.546 0.322
Ca 0.895 0.236 0.036
Ca 0.586 0.046 0.322
Ca 0.414 0.954 0.678
Ca 0.105 0.764 0.964
Ca 0.100 0.077 0.334
Ca 0.900 0.923 0.666
Ta 0.144 0.421 0.156
Ta 0.119 0.088 0.823
Ta 0.619 0.412 0.177
Ta 0.381 0.588 0.823
Ta 0.644 0.761 0.485
Ta 0.144 0.739 0.515
Ta 0.856 0.579 0.844
Ta 0.856 0.261 0.485
Ta 0.644 0.079 0.844
Ta 0.881 0.912 0.177
Ta 0.356 0.921 0.156
Ta 0.356 0.239 0.515
F 0.520 0.824 0.568
F 0.553 0.820 0.367
F 0.753 0.810 0.122
F 0.286 0.498 0.208
F 0.258 0.796 0.606
F 0.959 0.093 0.185
F 0.357 0.770 0.245
F 0.923 0.687 0.952
F 0.028 0.579 0.831
F 0.725 0.314 0.568
F 0.577 0.187 0.952
F 0.980 0.324 0.568
F 0.270 0.328 0.090
F 0.954 0.109 0.443
F 0.758 0.704 0.394
F 0.602 0.966 0.730
F 0.041 0.907 0.815
F 0.102 0.534 0.270
F 0.447 0.180 0.633
F 0.336 0.384 0.416
F 0.095 0.280 0.788
F 0.546 0.609 0.443
F 0.857 0.730 0.755
F 0.786 0.002 0.792
F 0.319 0.474 0.929
F 0.164 0.884 0.416
F 0.869 0.428 0.933
F 0.972 0.421 0.169
F 0.730 0.672 0.910
F 0.819 0.026 0.071
F 0.998 0.875 0.082
F 0.214 0.998 0.208
F 0.898 0.466 0.730
F 0.237 0.022 0.737
F 0.369 0.072 0.067
F 0.528 0.921 0.169
F 0.020 0.676 0.432
F 0.947 0.320 0.367
F 0.046 0.891 0.557
F 0.002 0.125 0.918
F 0.836 0.116 0.584
F 0.131 0.572 0.067
F 0.714 0.502 0.792
F 0.263 0.522 0.737
F 0.833 0.456 0.464
F 0.595 0.220 0.212
F 0.143 0.270 0.245
F 0.181 0.974 0.929
F 0.053 0.680 0.633
F 0.643 0.230 0.755
F 0.167 0.544 0.536
F 0.242 0.296 0.606
F 0.275 0.686 0.432
F 0.631 0.928 0.933
F 0.667 0.956 0.464
F 0.077 0.313 0.048
F 0.253 0.690 0.878
F 0.247 0.190 0.878
F 0.541 0.593 0.185
F 0.747 0.310 0.122
F 0.454 0.391 0.557
F 0.502 0.375 0.082
F 0.423 0.813 0.048
F 0.480 0.176 0.432
F 0.472 0.079 0.831
F 0.225 0.186 0.432
F 0.737 0.478 0.263
F 0.664 0.616 0.584
F 0.459 0.407 0.815
F 0.498 0.625 0.918
F 0.474 0.591 0.704
F 0.905 0.720 0.212
F 0.230 0.828 0.090
F 0.974 0.909 0.296
F 0.405 0.780 0.788
F 0.681 0.526 0.071
F 0.526 0.409 0.296
F 0.333 0.044 0.536
F 0.775 0.814 0.568
F 0.763 0.978 0.263
F 0.770 0.172 0.910
F 0.742 0.204 0.394
F 0.398 0.034 0.270
F 0.026 0.091 0.704
```

---

# CaTaF3

A geometry-optimized CaTaF3 structure (PBE, the Alexandria database). Values from VASP.

Results
Offset from the most stable computed form = 0.133 eV/atom
Crystal system = cubic
Mass density = 5.29 Mg/m³
Electronic total energy = -27.2 eV for the cell shown
Raw formation energy = -1.5502 eV/atom

Structure (Quantum ESPRESSO input):
```
&SYSTEM
  ibrav = 0, nat = 5, ntyp = 3
/
ATOMIC_SPECIES
Ca 40.08 Ca.upf
F 19.00 F.upf
Ta 180.95 Ta.upf
CELL_PARAMETERS angstrom
4.437 0.000 0.000
0.000 4.437 0.000
0.000 0.000 4.437
ATOMIC_POSITIONS crystal
Ca 0.000 0.000 0.000
F 0.000 0.500 0.000
F 0.000 0.000 0.500
F 0.500 0.000 0.000
Ta 0.500 0.500 0.500
```

---

# CaTaF3

A geometry-optimized CaTaF3 structure (PBE, the Alexandria database). Values from VASP.

Results
Offset from the most stable computed form = 0.000 eV/atom
Crystal system = cubic
Mass density = 5.31 Mg/m³
Electronic total energy = -27.9 eV for the cell shown
Raw formation energy = -1.6827 eV/atom

Structure (Quantum ESPRESSO input):
```
&SYSTEM
  ibrav = 0, nat = 5, ntyp = 3
/
ATOMIC_SPECIES
Ca 40.08 Ca.upf
F 19.00 F.upf
Ta 180.95 Ta.upf
CELL_PARAMETERS angstrom
-4.176 1.402 0.480
-1.023 -3.765 2.099
1.072 1.867 3.872
ATOMIC_POSITIONS crystal
Ca 0.500 0.500 0.500
F 0.000 0.500 0.000
F 0.000 0.000 0.500
F 0.500 0.000 0.000
Ta 0.000 0.000 0.000
```

---

# CaTa2F2

A geometry-optimized CaTa2F2 structure (PBE, the Alexandria database). Values from VASP.

Results
Offset from the most stable computed form = 0.000 eV/atom
Crystal system = tetragonal
Mass density = 7.13 Mg/m³
Electronic total energy = -32.9 eV for the cell shown
Raw formation energy = -0.6972 eV/atom

Structure (Quantum ESPRESSO input):
```
&SYSTEM
  ibrav = 0, nat = 5, ntyp = 3
/
ATOMIC_SPECIES
Ca 40.08 Ca.upf
F 19.00 F.upf
Ta 180.95 Ta.upf
CELL_PARAMETERS angstrom
-1.861 2.902 -0.887
-1.903 -0.306 2.992
3.488 5.931 4.941
ATOMIC_POSITIONS crystal
Ca 0.000 0.000 0.000
F 0.428 0.428 0.143
F 0.572 0.572 0.857
Ta 0.750 0.250 0.500
Ta 0.250 0.750 0.500
```

---

# CaTa2F2

A geometry-optimized CaTa2F2 structure (PBE, the Alexandria database). Values from VASP.

Results
Offset from the most stable computed form = 0.693 eV/atom
Crystal system = tetragonal
Mass density = 7.79 Mg/m³
Electronic total energy = -58.9 eV for the cell shown
Raw formation energy = -0.0046 eV/atom

Structure (Quantum ESPRESSO input):
```
&SYSTEM
  ibrav = 0, nat = 10, ntyp = 3
/
ATOMIC_SPECIES
Ca 40.08 Ca.upf
F 19.00 F.upf
Ta 180.95 Ta.upf
CELL_PARAMETERS angstrom
-6.983 -3.277 0.598
-0.341 -0.679 -7.700
1.343 -2.826 0.190
ATOMIC_POSITIONS crystal
Ca 0.000 0.000 0.000
Ca 0.500 0.500 0.000
F 0.389 0.889 0.000
F 0.889 0.611 0.000
F 0.611 0.111 0.000
F 0.111 0.389 0.000
Ta 0.122 0.622 0.500
Ta 0.622 0.878 0.500
Ta 0.878 0.378 0.500
Ta 0.378 0.122 0.500
```

---

# CaZr2TaF

A geometry-optimized CaZr2TaF structure (PBE, the Alexandria database). Values from VASP.

Results
Crystal system = tetragonal
Mass density = 6.01 Mg/m³
Electronic total energy = -29.5 eV for the cell shown
Raw formation energy = 0.6738 eV/atom

Structure (Quantum ESPRESSO input):
```
&SYSTEM
  ibrav = 0, nat = 5, ntyp = 4
/
ATOMIC_SPECIES
Ca 40.08 Ca.upf
F 19.00 F.upf
Zr 91.22 Zr.upf
Ta 180.95 Ta.upf
CELL_PARAMETERS angstrom
5.480 0.000 0.000
0.000 3.885 0.000
0.000 0.000 5.480
ATOMIC_POSITIONS crystal
Ca 0.000 0.000 0.000
F 0.000 0.500 0.000
Zr 0.000 0.000 0.500
Zr 0.500 0.000 0.000
Ta 0.500 0.500 0.500
```

---

# CaZrTa2F

A geometry-optimized CaZrTa2F structure (PBE, the Alexandria database). Values from VASP.

Results
Crystal system = tetragonal
Mass density = 8.84 Mg/m³
Electronic total energy = -35.3 eV for the cell shown
Raw formation energy = 0.1717 eV/atom

Structure (Quantum ESPRESSO input):
```
&SYSTEM
  ibrav = 0, nat = 5, ntyp = 4
/
ATOMIC_SPECIES
Ca 40.08 Ca.upf
F 19.00 F.upf
Zr 91.22 Zr.upf
Ta 180.95 Ta.upf
CELL_PARAMETERS angstrom
4.487 0.000 0.000
0.000 4.779 0.000
0.000 0.000 4.487
ATOMIC_POSITIONS crystal
Ca 0.500 0.500 0.500
F 0.000 0.000 0.000
Zr 0.000 0.500 0.000
Ta 0.000 0.000 0.500
Ta 0.500 0.000 0.000
```

---

# Ca3TbF8

A geometry-optimized Ca3TbF8 structure (PBE, the Alexandria database). Values from VASP.

Results
Crystal system = cubic
Mass density = 4.19 Mg/m³
Electronic total energy = -70.7 eV for the cell shown
Raw formation energy = -3.7585 eV/atom

Structure (Quantum ESPRESSO input):
```
&SYSTEM
  ibrav = 0, nat = 12, ntyp = 3
/
ATOMIC_SPECIES
Ca 40.08 Ca.upf
Tb 158.93 Tb.upf
F 19.00 F.upf
CELL_PARAMETERS angstrom
-1.743 4.569 2.624
-4.510 -2.723 1.746
2.725 -1.584 4.568
ATOMIC_POSITIONS crystal
Ca 0.500 0.500 0.000
Ca 0.500 0.000 0.500
Ca 0.000 0.500 0.500
Tb 0.000 0.000 0.000
F 0.250 0.250 0.750
F 0.250 0.750 0.250
F 0.750 0.250 0.250
F 0.750 0.750 0.750
F 0.750 0.750 0.250
F 0.750 0.250 0.750
F 0.250 0.750 0.750
F 0.250 0.250 0.250
```

---

# Ca2TbF

A geometry-optimized Ca2TbF structure (PBE, the Alexandria database). Values from VASP.

Results
Crystal system = trigonal
Mass density = 3.87 Mg/m³
Electronic total energy = -14.5 eV for the cell shown
Raw formation energy = -1.0031 eV/atom

Structure (Quantum ESPRESSO input):
```
&SYSTEM
  ibrav = 0, nat = 4, ntyp = 3
/
ATOMIC_SPECIES
Ca 40.08 Ca.upf
Tb 158.93 Tb.upf
F 19.00 F.upf
CELL_PARAMETERS angstrom
-3.445 -0.753 -0.590
-2.030 -1.277 2.651
-4.309 8.656 3.282
ATOMIC_POSITIONS crystal
Ca 0.113 0.113 0.660
Ca 0.887 0.887 0.340
Tb 0.000 0.000 0.000
F 0.500 0.500 0.500
```

---

# CaTb2F

A geometry-optimized CaTb2F structure (PBE, the Alexandria database). Values from VASP.

Results
Crystal system = trigonal
Mass density = 5.64 Mg/m³
Electronic total energy = -16.8 eV for the cell shown
Raw formation energy = -0.9153 eV/atom

Structure (Quantum ESPRESSO input):
```
&SYSTEM
  ibrav = 0, nat = 4, ntyp = 3
/
ATOMIC_SPECIES
Ca 40.08 Ca.upf
Tb 158.93 Tb.upf
F 19.00 F.upf
CELL_PARAMETERS angstrom
3.703 0.000 0.000
1.851 3.207 0.000
1.851 1.069 9.353
ATOMIC_POSITIONS crystal
Ca 0.000 0.000 0.000
Tb 0.119 0.119 0.643
Tb 0.881 0.881 0.357
F 0.500 0.500 0.500
```

---

# CaTbF5

A geometry-optimized CaTbF5 structure (PBE, the Alexandria database). Values from VASP.

Results
Crystal system = monoclinic
Mass density = 5.18 Mg/m³
Electronic total energy = -87.5 eV for the cell shown
Raw formation energy = -3.9625 eV/atom

Structure (Quantum ESPRESSO input):
```
&SYSTEM
  ibrav = 0, nat = 14, ntyp = 3
/
ATOMIC_SPECIES
Ca 40.08 Ca.upf
Tb 158.93 Tb.upf
F 19.00 F.upf
CELL_PARAMETERS angstrom
4.949 -0.126 0.002
0.401 4.934 0.002
-0.301 -0.271 7.699
ATOMIC_POSITIONS crystal
Ca 0.000 0.000 0.000
Ca 0.000 0.000 0.500
Tb 0.512 0.488 0.750
Tb 0.488 0.512 0.250
F 0.629 0.060 0.823
F 0.402 0.263 0.495
F 0.060 0.629 0.323
F 0.178 0.822 0.750
F 0.737 0.598 0.005
F 0.263 0.402 0.995
F 0.822 0.178 0.250
F 0.940 0.371 0.677
F 0.598 0.737 0.505
F 0.371 0.940 0.177
```

---

# CaTbF6

A geometry-optimized CaTbF6 structure (PBE, the Alexandria database). Values from VASP.

Results
Crystal system = tetragonal
Mass density = 4.37 Mg/m³
Electronic total energy = -91.0 eV for the cell shown
Raw formation energy = -3.4523 eV/atom

Structure (Quantum ESPRESSO input):
```
&SYSTEM
  ibrav = 0, nat = 16, ntyp = 3
/
ATOMIC_SPECIES
Ca 40.08 Ca.upf
F 19.00 F.upf
Tb 158.93 Tb.upf
CELL_PARAMETERS angstrom
-3.543 -2.377 -3.406
4.154 -2.017 -2.912
0.014 -6.547 4.555
ATOMIC_POSITIONS crystal
Ca 0.000 0.000 0.500
Ca 0.000 0.000 0.000
F 0.208 0.241 0.324
F 0.792 0.759 0.324
F 0.759 0.208 0.824
F 0.241 0.792 0.824
F 0.792 0.759 0.676
F 0.208 0.241 0.676
F 0.241 0.792 0.176
F 0.759 0.208 0.176
F 0.334 0.683 0.500
F 0.666 0.317 0.500
F 0.317 0.334 0.000
F 0.683 0.666 0.000
Tb 0.500 0.500 0.750
Tb 0.500 0.500 0.250
```